No. 1
A plane-wave DFT calculation with GGA-PBE was carried out for crystalline ErNpP2N6 at its relaxed geometry.

## Properties
E_form (uncorrected)	-8.7	eV per formula unit
DOS(E_F)	3.7	states/eV per cell
energy	-8.69	eV per atom

Cell and atoms, written as CIF:
```
data_ErNpP2N6
_chemical_formula_sum 'Er2 Np2 P4 N12'
_space_group_name_H-M_alt 'P 1'
_space_group_IT_number 1
_cell_length_a 6.901
_cell_length_b 6.901
_cell_length_c 5.352
_cell_angle_alpha 100.81
_cell_angle_beta 100.81
_cell_angle_gamma 87.35
loop_
_space_group_symop_operation_xyz
'x,y,z'
loop_
_atom_site_label
_atom_site_type_symbol
_atom_site_fract_x
_atom_site_fract_y
_atom_site_fract_z
_atom_site_occupancy
Er1 Er 0.094 0.906 0.750 1
Er2 Er 0.906 0.094 0.250 1
Np1 Np 0.310 0.690 0.250 1
Np2 Np 0.690 0.310 0.750 1
P1 P 0.207 0.374 0.747 1
P2 P 0.374 0.207 0.247 1
P3 P 0.626 0.793 0.753 1
P4 P 0.793 0.626 0.253 1
N1 N 0.018 0.231 0.671 1
N2 N 0.161 0.602 0.874 1
N3 N 0.231 0.018 0.171 1
N4 N 0.309 0.384 0.486 1
N5 N 0.384 0.309 0.986 1
N6 N 0.398 0.839 0.626 1
N7 N 0.602 0.161 0.374 1
N8 N 0.616 0.691 0.014 1
N9 N 0.691 0.616 0.514 1
N10 N 0.769 0.982 0.829 1
N11 N 0.839 0.398 0.126 1
N12 N 0.982 0.769 0.329 1
```

No. 2
A plane-wave DFT calculation with GGA-PBE was carried out for crystalline Er2NpPdN4 at its relaxed geometry.

## Properties
E_form (uncorrected)	-8.3	eV per formula unit
DOS(E_F)	6.4	states/eV per cell
energy	-8.61	eV per atom

Cell and atoms, written as CIF:
```
data_Er2NpPdN4
_chemical_formula_sum 'Er2 Np1 Pd1 N4'
_space_group_name_H-M_alt 'P 1'
_space_group_IT_number 1
_cell_length_a 5.646
_cell_length_b 3.559
_cell_length_c 5.678
_cell_angle_alpha 90.00
_cell_angle_beta 103.21
_cell_angle_gamma 90.00
loop_
_space_group_symop_operation_xyz
'x,y,z'
loop_
_atom_site_label
_atom_site_type_symbol
_atom_site_fract_x
_atom_site_fract_y
_atom_site_fract_z
_atom_site_occupancy
Er1 Er 0.000 0.000 0.000 1
Er2 Er 0.500 0.500 0.000 1
Np1 Np 0.000 0.500 0.500 1
Pd1 Pd 0.500 0.000 0.500 1
N1 N 0.188 0.500 0.234 1
N2 N 0.256 0.000 0.744 1
N3 N 0.744 0.000 0.256 1
N4 N 0.812 0.500 0.766 1
```

No. 3
A plane-wave DFT calculation with GGA-PBE was carried out for crystalline Pm3Er2NpN6 at its relaxed geometry.

## Properties
E_form (uncorrected)	-18.2	eV per formula unit
DOS(E_F)	5.8	states/eV per cell
energy	-8.70	eV per atom

Cell and atoms, written as CIF:
```
data_Pm3Er2NpN6
_chemical_formula_sum 'Pm3 Er2 Np1 N6'
_space_group_name_H-M_alt 'P 1'
_space_group_IT_number 1
_cell_length_a 6.054
_cell_length_b 6.054
_cell_length_c 6.106
_cell_angle_alpha 99.51
_cell_angle_beta 99.51
_cell_angle_gamma 120.02
loop_
_space_group_symop_operation_xyz
'x,y,z'
loop_
_atom_site_label
_atom_site_type_symbol
_atom_site_fract_x
_atom_site_fract_y
_atom_site_fract_z
_atom_site_occupancy
Pm1 Pm 0.000 0.000 0.000 1
Pm2 Pm 0.332 0.668 0.000 1
Pm3 Pm 0.668 0.332 0.000 1
Er1 Er 0.166 0.834 0.500 1
Er2 Er 0.834 0.166 0.500 1
Np1 Np 0.500 0.500 0.500 1
N1 N 0.108 0.425 0.275 1
N2 N 0.258 0.258 0.726 1
N3 N 0.425 0.108 0.275 1
N4 N 0.575 0.892 0.725 1
N5 N 0.742 0.742 0.274 1
N6 N 0.892 0.575 0.725 1
```